1.
! Nd12Bi5C2 PBE-GGA optimized geometry; values from VASP
! electronic total energy = -5.4249 eV per atom
! DFT formation energy = -0.42 eV per atom
! calculated volume = 34.2 A^3/atom
! space group = C2/m, No. 12
&SYSTEM
  ibrav = 0, nat = 19, ntyp = 3
/
ATOMIC_SPECIES
Nd 144.24 Nd.upf
Bi 208.98 Bi.upf
C 12.01 C.upf
CELL_PARAMETERS angstrom
8.879 -3.938 0.000
8.879 3.938 0.000
-2.848 0.000 9.284
ATOMIC_POSITIONS crystal
Nd 0.002 0.002 0.333
Nd 0.094 0.609 0.424
Nd 0.116 0.598 0.938
Nd 0.391 0.906 0.576
Nd 0.402 0.884 0.062
Nd 0.496 0.496 0.313
Nd 0.504 0.504 0.687
Nd 0.598 0.116 0.938
Nd 0.609 0.094 0.424
Nd 0.884 0.402 0.062
Nd 0.906 0.391 0.576
Nd 0.998 0.998 0.667
Bi 0.000 0.000 0.000
Bi 0.295 0.295 0.151
Bi 0.313 0.313 0.657
Bi 0.687 0.687 0.343
Bi 0.705 0.705 0.849
C 0.262 0.738 0.500
C 0.738 0.262 0.500

---

2.
! Nd8Bi2C3 PBE-GGA optimized geometry; values from VASP
! electronic total energy = -5.9593 eV per atom
! DFT formation energy = -0.30 eV per atom
! calculated volume = 29.6 A^3/atom
! space group = C2/m, No. 12
&SYSTEM
  ibrav = 0, nat = 13, ntyp = 3
/
ATOMIC_SPECIES
Nd 144.24 Nd.upf
Bi 208.98 Bi.upf
C 12.01 C.upf
CELL_PARAMETERS angstrom
7.953 -3.769 0.000
7.953 3.769 0.000
-1.826 0.000 6.429
ATOMIC_POSITIONS crystal
Nd 0.093 0.093 0.896
Nd 0.150 0.669 0.612
Nd 0.331 0.850 0.388
Nd 0.403 0.403 0.071
Nd 0.597 0.597 0.929
Nd 0.669 0.150 0.612
Nd 0.850 0.331 0.388
Nd 0.907 0.907 0.104
Bi 0.254 0.254 0.324
Bi 0.746 0.746 0.676
C 0.000 0.000 0.500
C 0.252 0.748 0.000
C 0.748 0.252 0.000

---

no.,M_tot (μB per cell)
1,0.0
2,0.0